1.
Below is an optimized crystal structure of SmS4, with properties calculated at the PBE-GGA level.

Summary:
ρ ... 4.4 Mg/m³
Formation energy from raw total energies ... -0.41 eV per atom
D(E_F) ... 0.78 states/eV/atom
Relative energy among the computed polymorphs ... 0.0 meV per atom

Cell: 4.8108 5.2789 5.2789 Å, 78.02 62.89 62.89°
Fractional positions:
Sm (0.0000, 0.0000, 0.0000)
S (0.2512, 0.2446, 0.2531)
S (0.5042, 0.7469, 0.2446)
S (0.7488, 0.7554, 0.7469)
S (0.4958, 0.2531, 0.7554)

---

2.
Below is an optimized crystal structure of HfSn2Ru2, with properties calculated at the PBE-GGA level.

Summary:
ρ ... 10.9 Mg/m³
Uncorrected energy ... -74.41 eV per cell
D(E_F) ... 0.53 states/eV/atom

Cell: 6.9316 6.9316 3.9365 Å, 90.00 90.00 90.00°
Fractional positions:
Ru (0.3620, 0.8620, 0.0000)
Ru (0.8620, 0.6380, 0.0000)
Ru (0.6380, 0.1380, 0.0000)
Ru (0.1380, 0.3620, 0.0000)
Hf (0.0000, 0.0000, 0.0000)
Hf (0.5000, 0.5000, 0.0000)
Sn (0.1639, 0.6639, 0.5000)
Sn (0.6639, 0.8361, 0.5000)
Sn (0.8361, 0.3361, 0.5000)
Sn (0.3361, 0.1639, 0.5000)

---

3.
Below is an optimized crystal structure of PuZnSb2, with properties calculated at the PBE-GGA level.

Summary:
ρ ... 9.8 Mg/m³
Formation energy from raw total energies ... -0.37 eV per atom
D(E_F) ... 2.21 states/eV/atom
Relative energy among the computed polymorphs ... 33.1 meV per atom

Cell: 4.2747 4.6921 4.6921 Å, 90.00 90.00 90.00°
Fractional positions:
Sb (0.0000, 0.0000, 0.5000)
Sb (0.0000, 0.5000, 0.0000)
Zn (0.5000, 0.0000, 0.0000)
Pu (0.5000, 0.5000, 0.5000)